[1]
A plane-wave DFT calculation with PBE was carried out for a geometry-optimized TaTlTe2 structure.

Output
Energy = -18.35 eV/cell
Crystal system = tetragonal
E_form (uncorrected) = 538 meV per atom
SG = P4/mmm (123)
Calculated volume = 25.15 A^3/atom

Geometry as CIF:
```
data_TaTlTe2
_chemical_formula_sum 'Ta1 Tl1 Te2'
_cell_length_a 5.3485
_cell_length_b 5.3485
_cell_length_c 3.5162
_cell_angle_alpha 90.00
_cell_angle_beta 90.00
_cell_angle_gamma 90.00
_symmetry_space_group_name_H-M 'P 1'
_symmetry_Int_Tables_number 1
loop_
_symmetry_equiv_pos_as_xyz
'x,y,z'
loop_
_atom_site_label
_atom_site_type_symbol
_atom_site_fract_x
_atom_site_fract_y
_atom_site_fract_z
_atom_site_occupancy
Ta1 Ta 0.0000 0.0000 0.0000 1
Tl1 Tl 0.5000 0.5000 0.0000 1
Te1 Te 0.0000 0.5000 0.5000 1
Te2 Te 0.5000 0.0000 0.5000 1
```

=====

[2]
A plane-wave DFT calculation with PBE was carried out for a geometry-optimized TaTlTe structure.

Output
Energy = -16.84 eV/cell
Energy above the lowest structure with this stoichiometry = 0.00 kJ/mol of atoms
Crystal system = trigonal
E_form (uncorrected) = 172 meV per atom
SG = P3m1 (156)
Calculated volume = 24.65 A^3/atom

Geometry as CIF:
```
data_TaTlTe
_chemical_formula_sum 'Ta1 Tl1 Te1'
_cell_length_a 3.4674
_cell_length_b 3.4674
_cell_length_c 7.1034
_cell_angle_alpha 90.00
_cell_angle_beta 90.00
_cell_angle_gamma 120.00
_symmetry_space_group_name_H-M 'P 1'
_symmetry_Int_Tables_number 1
loop_
_symmetry_equiv_pos_as_xyz
'x,y,z'
loop_
_atom_site_label
_atom_site_type_symbol
_atom_site_fract_x
_atom_site_fract_y
_atom_site_fract_z
_atom_site_occupancy
Ta1 Ta 0.0000 0.0000 0.0000 1
Tl1 Tl 0.3333 0.6667 0.6784 1
Te1 Te 0.6667 0.3333 0.2662 1
```

=====

[3]
A plane-wave DFT calculation with PBE was carried out for a geometry-optimized TaTlTe structure.

Output
Energy = -15.85 eV/cell
Energy above the lowest structure with this stoichiometry = 32.12 kJ/mol of atoms
Crystal system = hexagonal
E_form (uncorrected) = 505 meV per atom
SG = P-6m2 (187)
Calculated volume = 23.03 A^3/atom

Geometry as CIF:
```
data_TaTlTe
_chemical_formula_sum 'Ta1 Tl1 Te1'
_cell_length_a 5.1260
_cell_length_b 5.1260
_cell_length_c 3.0358
_cell_angle_alpha 90.00
_cell_angle_beta 90.00
_cell_angle_gamma 120.00
_symmetry_space_group_name_H-M 'P 1'
_symmetry_Int_Tables_number 1
loop_
_symmetry_equiv_pos_as_xyz
'x,y,z'
loop_
_atom_site_label
_atom_site_type_symbol
_atom_site_fract_x
_atom_site_fract_y
_atom_site_fract_z
_atom_site_occupancy
Ta1 Ta 0.0000 0.0000 0.0000 1
Tl1 Tl 0.6667 0.3333 0.5000 1
Te1 Te 0.3333 0.6667 0.0000 1
```